A relaxed structure of TlInPtRh, computed with PBE.

```
4
Lattice="0.000 3.317 3.317 3.317 0.000 3.317 3.317 3.317 0.000" Properties=species:S:1:pos:R:3 pbc="T T T"
Tl 0.000 0.000 0.000
In 3.317 3.317 3.317
Pt 1.659 1.659 1.659
Rh 4.976 4.976 4.976
```

Calculated formation energy ... -2.204 kcal/mol of atoms

=====

A relaxed structure of ScSbAu, computed with PBE.

```
6
Lattice="3.330 0.000 0.000 -0.006 4.059 0.000 -1.580 -1.907 10.527" Properties=species:S:1:pos:R:3 pbc="T T T"
Sc 0.028 0.062 3.088
Sc 1.716 2.090 7.440
Sb 0.056 0.059 8.911
Sb 1.688 2.093 1.617
Au 0.047 0.060 5.963
Au 1.697 2.092 4.565
```

=====

A relaxed structure of TlCuSnTe2, computed with PBE.

```
10
Lattice="8.363 0.000 0.000 0.000 5.017 0.000 -2.896 0.000 7.910" Properties=species:S:1:pos:R:3 pbc="T T T"
Tl -0.724 1.090 1.977
Tl -2.172 3.927 5.932
Cu 4.182 0.000 0.000
Cu 2.734 0.000 3.955
Sn 2.010 1.781 5.932
Sn 3.458 3.236 1.977
Te 2.119 1.391 0.019
Te 0.671 3.626 3.974
Te 4.797 1.391 3.936
Te 3.349 3.626 7.891
```

=====

A relaxed structure of SmDy2Ru9, computed with PBE.

```
12
Lattice="2.643 1.526 8.708 -2.643 1.526 8.708 0.000 -3.052 8.708" Properties=species:S:1:pos:R:3 pbc="T T T"
Sm 0.000 0.000 0.000
Dy 0.000 0.000 3.651
Dy 0.000 0.000 22.474
Ru -1.362 -0.787 10.878
Ru 0.000 0.000 8.833
Ru 0.000 -1.573 15.247
Ru -1.362 0.787 15.247
Ru 0.000 0.000 13.063
Ru 1.362 -0.787 10.878
Ru 0.000 1.573 10.878
Ru 0.000 0.000 17.292
Ru 1.362 0.787 15.247
```

Calculated formation energy ... -2.761 kcal/mol of atoms

=====

A relaxed structure of Rb2SbSe, computed with PBE.

```
4
Lattice="0.000 4.294 4.294 4.294 0.000 4.294 4.294 4.294 0.000" Properties=species:S:1:pos:R:3 pbc="T T T"
Rb 2.147 2.147 2.147
Rb 6.440 6.440 6.440
Sb 0.000 0.000 0.000
Se 4.294 4.294 4.294
```

Distance to the lowest polymorph of the same formula ... 211.2 meV per atom

=====

A relaxed structure of CaTa2Fe, computed with PBE.

```
4
Lattice="4.707 0.000 0.000 0.000 4.707 0.000 0.000 0.000 3.186" Properties=species:S:1:pos:R:3 pbc="T T T"
Ca 0.000 0.000 0.000
Ta 0.000 2.353 1.593
Ta 2.353 0.000 1.593
Fe 2.353 2.353 0.000
```

Distance to the lowest polymorph of the same formula ... 648.6 meV per atom
Calculated formation energy ... 21.983 kcal/mol of atoms

=====

A relaxed structure of PrSmInIr, computed with PBE.

```
4
Lattice="0.000 3.699 3.699 3.699 0.000 3.699 3.699 3.699 0.000" Properties=species:S:1:pos:R:3 pbc="T T T"
Pr 0.000 0.000 0.000
Sm 3.699 3.699 3.699
In 5.549 5.549 5.549
Ir 1.850 1.850 1.850
```

Calculated formation energy ... -9.469 kcal/mol of atoms

=====

A relaxed structure of GdTmTcPd, computed with PBE.

```
4
Lattice="0.000 3.445 3.445 3.445 0.000 3.445 3.445 3.445 0.000" Properties=species:S:1:pos:R:3 pbc="T T T"
Gd 0.000 0.000 0.000
Tm 3.445 3.445 3.445
Tc 5.167 5.167 5.167
Pd 1.722 1.722 1.722
```

Calculated formation energy ... -8.644 kcal/mol of atoms

=====

| no. | energy (eV per cell) | magnetization (μB per formula unit) |
| --- | --- | --- |
| 1 | -18.9 | 0.0 |
| 2 | -31.1 | 0.0 |
| 3 | -35.1 | 0.0 |
| 4 | -98.8 | 0.1 |
| 5 | -10.4 | 2.8 |
| 6 | -30.4 | 0.7 |
| 7 | -22.7 | 0.0 |
| 8 | -35.6 | 7.1 |